No. 1
The following is a DFT calculation (GGA-PBE) of an optimized crystal structure of Nd3SnSeCl.

Unit cell a=8.7242 b=4.2177 c=10.1788 alpha=90.00 beta=106.84 gamma=90.00
Space group P2_1/m (No. 11)
Inequivalent atoms, fractional coordinates:
1 Nd 0.1668 0.2500 0.1669 x2
2 Nd 0.3297 0.7500 0.8995 x2
3 Nd 0.3306 0.7500 0.5159 x2
4 Sn 0.4658 0.7500 0.2439 x2
5 Se 0.0864 0.2500 0.8634 x2
6 Cl 0.1075 0.2500 0.4306 x2

Properties
crystal system: monoclinic
ΔE_f (raw): -1.343 eV per atom

---

No. 2
The following is a DFT calculation (GGA-PBE) of an optimized crystal structure of NiTeMo3.

Unit cell a=4.8559 b=4.8559 c=4.8559 alpha=90.00 beta=90.00 gamma=90.00
Space group Pm-3m (No. 221)
Inequivalent atoms, fractional coordinates:
1 Ni 0.0000 0.0000 0.0000 x1
2 Te 0.5000 0.5000 0.5000 x1
3 Mo 0.0000 0.5000 0.5000 x3

Properties
crystal system: cubic
ΔE_f (raw): 2.230 eV per atom

---

No. 3
The following is a DFT calculation (GGA-PBE) of an optimized crystal structure of DySc3O.

Unit cell a=4.6375 b=4.6375 c=4.6375 alpha=90.00 beta=90.00 gamma=90.00
Space group Pm-3m (No. 221)
Inequivalent atoms, fractional coordinates:
1 Dy 0.0000 0.0000 0.0000 x1
2 Sc 0.0000 0.5000 0.5000 x3
3 O 0.5000 0.5000 0.5000 x1

Properties
crystal system: cubic
ΔE_f (raw): -1.025 eV per atom

---

No. 4
The following is a DFT calculation (GGA-PBE) of an optimized crystal structure of CaTc.

Unit cell a=5.8158 b=5.8321 c=11.3459 alpha=90.00 beta=90.00 gamma=90.00
Space group P2_12_12_1 (No. 19)
Inequivalent atoms, fractional coordinates:
1 Ca 0.1108 0.1395 0.1841 x4
2 Ca 0.1150 0.5939 0.9899 x4
3 Tc 0.0840 0.3584 0.7332 x4
4 Tc 0.0953 0.1131 0.8983 x4

Properties
crystal system: orthorhombic
calculated formation energy: 0.387 eV/atom

---

No. 5
The following is a DFT calculation (GGA-PBE) of an optimized crystal structure of SmGaCl.

Unit cell a=3.7927 b=3.9594 c=9.1299 alpha=90.00 beta=90.00 gamma=90.00
Space group Pmmn (No. 59, origin choice 2)
Inequivalent atoms, fractional coordinates:
1 Sm 0.2500 0.2500 0.2325 x2
2 Ga 0.2500 0.7500 0.4980 x2
3 Cl 0.2500 0.2500 0.8835 x2

Properties
crystal system: orthorhombic
ΔE_f (raw): -1.195 eV per atom

---

No. 6
The following is a DFT calculation (GGA-PBE) of an optimized crystal structure of TiV2Pt.

Unit cell a=3.6916 b=3.6916 c=4.3235 alpha=90.00 beta=90.00 gamma=90.00
Space group P4/mmm (No. 123)
Inequivalent atoms, fractional coordinates:
1 Ti 0.0000 0.0000 0.0000 x1
2 V 0.0000 0.5000 0.5000 x2
3 Pt 0.5000 0.5000 0.0000 x1

Properties
crystal system: tetragonal
calculated formation energy: -0.373 eV/atom

---

No. 7
The following is a DFT calculation (GGA-PBE) of an optimized crystal structure of Pa3Zn2Pt7.

Unit cell a=4.1250 b=3.9754 c=14.1584 alpha=90.00 beta=98.37 gamma=90.00
Space group P2/m (No. 10)
Inequivalent atoms, fractional coordinates:
1 Pa 0.0000 0.0000 0.0000 x1
2 Pa 0.3157 0.5000 0.6316 x2
3 Zn 0.1315 0.0000 0.2626 x2
4 Pt 0.0751 0.5000 0.1495 x2
5 Pt 0.2183 0.0000 0.4366 x2
6 Pt 0.4238 0.0000 0.8481 x2
7 Pt 0.5000 0.5000 0.0000 x1

Properties
crystal system: monoclinic
calculated formation energy: -0.733 eV/atom

---

No. 8
The following is a DFT calculation (GGA-PBE) of an optimized crystal structure of MgZrSc2.

Unit cell a=11.7447 b=3.4795 c=5.0372 alpha=90.00 beta=115.31 gamma=90.00
Space group Cm (No. 8)
Inequivalent atoms, fractional coordinates:
1 Mg 0.0000 0.0000 0.0000 x2
2 Zr 0.2312 0.5000 0.2312 x2
3 Sc 0.2721 0.0000 0.7724 x2
4 Sc 0.4987 0.0000 0.4986 x2

Properties
crystal system: monoclinic
calculated formation energy: 0.044 eV/atom

---

No. 9
The following is a DFT calculation (GGA-PBE) of an optimized crystal structure of H2OsRhO.

Unit cell a=3.7823 b=3.7823 c=3.6470 alpha=90.00 beta=90.00 gamma=90.00
Space group P4/mmm (No. 123)
Inequivalent atoms, fractional coordinates:
1 H 0.0000 0.5000 0.0000 x2
2 Os 0.0000 0.0000 0.5000 x1
3 Rh 0.5000 0.5000 0.5000 x1
4 O 0.0000 0.0000 0.0000 x1

Properties
crystal system: tetragonal
energy: -25.36 eV for the cell shown

---

No. 10
The following is a DFT calculation (GGA-PBE) of an optimized crystal structure of TmZnInAg.

Unit cell a=6.8824 b=6.8824 c=6.8824 alpha=90.00 beta=90.00 gamma=90.00
Space group F-43m (No. 216)
Inequivalent atoms, fractional coordinates:
1 Tm 0.0000 0.0000 0.0000 x4
2 Zn 0.2500 0.2500 0.2500 x4
3 In 0.0000 0.0000 0.5000 x4
4 Ag 0.2500 0.2500 0.7500 x4

Properties
crystal system: cubic
calculated formation energy: -0.298 eV/atom

---

No. 11
The following is a DFT calculation (GGA-PBE) of an optimized crystal structure of PmGdAgI.

Unit cell a=7.6071 b=7.6071 c=7.6071 alpha=90.00 beta=90.00 gamma=90.00
Space group F-43m (No. 216)
Inequivalent atoms, fractional coordinates:
1 Pm 0.0000 0.0000 0.0000 x4
2 Gd 0.0000 0.0000 0.5000 x4
3 Ag 0.2500 0.2500 0.7500 x4
4 I 0.2500 0.2500 0.2500 x4

Properties
crystal system: cubic
ΔE_f (raw): -0.359 eV per atom

---

No. 12
The following is a DFT calculation (GGA-PBE) of an optimized crystal structure of KCdRu.

Unit cell a=2.7829 b=4.5822 c=11.8997 alpha=90.00 beta=90.00 gamma=90.00
Space group Imm2 (No. 44)
Inequivalent atoms, fractional coordinates:
1 K 0.0000 0.0000 0.0000 x2
2 Cd 0.0000 0.0000 0.2798 x2
3 Ru 0.0000 0.0000 0.7179 x2

Properties
crystal system: orthorhombic
calculated formation energy: 0.656 eV/atom

---

| no. | total magnetization (μB per cell) | calculated volume (A^3/atom) |
| --- | --- | --- |
| 1 | 1.0 | 29.87 |
| 2 | 2.0 | 22.90 |
| 3 | 0.0 | 19.95 |
| 4 | 0.0 | 24.05 |
| 5 | 0.0 | 22.85 |
| 6 | 0.0 | 14.73 |
| 7 | 1.0 | 19.14 |
| 8 | 0.0 | 23.26 |
| 9 | 0.0 | 10.43 |
| 10 | 0.0 | 20.38 |
| 11 | 31.4 | 27.51 |
| 12 | 0.0 | 25.29 |